1.
# PBE YEr3Th3, optimized geometry
# - Space group: P6_3/m (176)
data_YEr3Th3
_space_group_name_H-M_alt 'P 1'
_space_group_IT_number 1
_cell_length_a 5.814
_cell_length_b 9.432
_cell_length_c 9.432
_cell_angle_alpha 120.00
_cell_angle_beta 90.00
_cell_angle_gamma 90.00
loop_
_space_group_symop_operation_xyz
'x,y,z'
loop_
_atom_site_label
_atom_site_type_symbol
_atom_site_fract_x
_atom_site_fract_y
_atom_site_fract_z
Y1 Y 0.750 0.333 0.667
Y2 Y 0.250 0.667 0.333
Er1 Er 0.250 0.529 0.621
Er2 Er 0.250 0.091 0.471
Er3 Er 0.250 0.379 0.909
Er4 Er 0.750 0.471 0.379
Er5 Er 0.750 0.909 0.529
Er6 Er 0.750 0.621 0.091
Th1 Th 0.750 0.766 0.812
Th2 Th 0.750 0.046 0.234
Th3 Th 0.750 0.189 0.954
Th4 Th 0.250 0.234 0.188
Th5 Th 0.250 0.954 0.766
Th6 Th 0.250 0.811 0.046


2.
# PBE YEr3Th3, optimized geometry
# - Space group: P6_3/m (176)
data_YEr3Th3
_space_group_name_H-M_alt 'P 1'
_space_group_IT_number 1
_cell_length_a 5.780
_cell_length_b 9.475
_cell_length_c 9.475
_cell_angle_alpha 120.00
_cell_angle_beta 90.00
_cell_angle_gamma 90.00
loop_
_space_group_symop_operation_xyz
'x,y,z'
loop_
_atom_site_label
_atom_site_type_symbol
_atom_site_fract_x
_atom_site_fract_y
_atom_site_fract_z
Y1 Y 0.250 0.333 0.667
Y2 Y 0.750 0.667 0.333
Er1 Er 0.750 0.806 0.763
Er2 Er 0.750 0.957 0.194
Er3 Er 0.250 0.763 0.957
Er4 Er 0.750 0.237 0.043
Er5 Er 0.250 0.043 0.806
Er6 Er 0.250 0.194 0.237
Th1 Th 0.750 0.515 0.897
Th2 Th 0.750 0.382 0.485
Th3 Th 0.250 0.897 0.382
Th4 Th 0.750 0.103 0.618
Th5 Th 0.250 0.618 0.515
Th6 Th 0.250 0.485 0.103


Most stable: 1. Least stable: 2.


1.
# PBE ErTh2Zn, optimized geometry
# - Space group: P4/mmm (123)
data_ErTh2Zn
_space_group_name_H-M_alt 'P 1'
_space_group_IT_number 1
_cell_length_a 3.564
_cell_length_b 3.564
_cell_length_c 8.989
_cell_angle_alpha 90.00
_cell_angle_beta 90.00
_cell_angle_gamma 90.00
loop_
_space_group_symop_operation_xyz
'x,y,z'
loop_
_atom_site_label
_atom_site_type_symbol
_atom_site_fract_x
_atom_site_fract_y
_atom_site_fract_z
Zn1 Zn 0.500 0.500 0.000
Th1 Th 0.000 0.000 0.784
Th2 Th 0.000 0.000 0.216
Er1 Er 0.500 0.500 0.500


2.
# PBE ErTh2Zn, optimized geometry
# - Space group: R-3m (166)
data_ErTh2Zn
_space_group_name_H-M_alt 'P 1'
_space_group_IT_number 1
_cell_length_a 3.382
_cell_length_b 3.382
_cell_length_c 11.901
_cell_angle_alpha 81.83
_cell_angle_beta 81.83
_cell_angle_gamma 60.00
loop_
_space_group_symop_operation_xyz
'x,y,z'
loop_
_atom_site_label
_atom_site_type_symbol
_atom_site_fract_x
_atom_site_fract_y
_atom_site_fract_z
Zn1 Zn 0.500 0.500 0.500
Th1 Th 0.095 0.095 0.715
Th2 Th 0.905 0.905 0.285
Er1 Er 0.000 0.000 0.000


Most stable: 1. Least stable: 2.


1.
# PBE Er2ThZn, optimized geometry
# - Space group: R3m (160)
data_Er2ThZn
_space_group_name_H-M_alt 'P 1'
_space_group_IT_number 1
_cell_length_a 3.538
_cell_length_b 3.538
_cell_length_c 10.528
_cell_angle_alpha 80.33
_cell_angle_beta 80.33
_cell_angle_gamma 60.00
loop_
_space_group_symop_operation_xyz
'x,y,z'
loop_
_atom_site_label
_atom_site_type_symbol
_atom_site_fract_x
_atom_site_fract_y
_atom_site_fract_z
Er1 Er 0.071 0.071 0.786
Er2 Er 0.262 0.262 0.215
Th1 Th 0.501 0.501 0.498
Zn1 Zn 0.666 0.666 0.001


2.
# PBE Er2ThZn, optimized geometry
# - Space group: P4/mmm (123)
data_Er2ThZn
_space_group_name_H-M_alt 'P 1'
_space_group_IT_number 1
_cell_length_a 4.813
_cell_length_b 4.731
_cell_length_c 4.731
_cell_angle_alpha 90.00
_cell_angle_beta 90.00
_cell_angle_gamma 90.00
loop_
_space_group_symop_operation_xyz
'x,y,z'
loop_
_atom_site_label
_atom_site_type_symbol
_atom_site_fract_x
_atom_site_fract_y
_atom_site_fract_z
Zn1 Zn 0.500 0.000 0.000
Th1 Th 0.500 0.500 0.500
Er1 Er 0.000 0.000 0.500
Er2 Er 0.000 0.500 0.000


3.
# PBE Er2ThZn, optimized geometry
# - Space group: R-3m (166)
data_Er2ThZn
_space_group_name_H-M_alt 'P 1'
_space_group_IT_number 1
_cell_length_a 3.554
_cell_length_b 3.554
_cell_length_c 10.363
_cell_angle_alpha 80.13
_cell_angle_beta 80.13
_cell_angle_gamma 60.00
loop_
_space_group_symop_operation_xyz
'x,y,z'
loop_
_atom_site_label
_atom_site_type_symbol
_atom_site_fract_x
_atom_site_fract_y
_atom_site_fract_z
Zn1 Zn 0.000 0.000 0.000
Th1 Th 0.500 0.500 0.500
Er1 Er 0.740 0.740 0.780
Er2 Er 0.260 0.260 0.220


4.
# PBE Er2ThZn, optimized geometry
# - Space group: P4/mmm (123)
data_Er2ThZn
_space_group_name_H-M_alt 'P 1'
_space_group_IT_number 1
_cell_length_a 3.537
_cell_length_b 3.537
_cell_length_c 8.517
_cell_angle_alpha 90.00
_cell_angle_beta 90.00
_cell_angle_gamma 90.00
loop_
_space_group_symop_operation_xyz
'x,y,z'
loop_
_atom_site_label
_atom_site_type_symbol
_atom_site_fract_x
_atom_site_fract_y
_atom_site_fract_z
Zn1 Zn 0.500 0.500 0.000
Th1 Th 0.500 0.500 0.500
Er1 Er 0.000 0.000 0.790
Er2 Er 0.000 0.000 0.210


Most stable: 4. Least stable: 2.


1.
# PBE ErThZn4, optimized geometry
# - Space group: I-4m2 (119)
data_ErThZn4
_space_group_name_H-M_alt 'P 1'
_space_group_IT_number 1
_cell_length_a 4.134
_cell_length_b 4.134
_cell_length_c 8.124
_cell_angle_alpha 104.74
_cell_angle_beta 104.74
_cell_angle_gamma 90.00
loop_
_space_group_symop_operation_xyz
'x,y,z'
loop_
_atom_site_label
_atom_site_type_symbol
_atom_site_fract_x
_atom_site_fract_y
_atom_site_fract_z
Er1 Er 0.250 0.750 0.500
Th1 Th 0.000 0.000 0.000
Zn1 Zn 0.670 0.170 0.340
Zn2 Zn 0.584 0.584 0.167
Zn3 Zn 0.830 0.330 0.660
Zn4 Zn 0.416 0.416 0.833


2.
# PBE ErThZn4, optimized geometry
# - Space group: F-43m (216)
data_ErThZn4
_space_group_name_H-M_alt 'P 1'
_space_group_IT_number 1
_cell_length_a 5.504
_cell_length_b 5.504
_cell_length_c 5.504
_cell_angle_alpha 60.00
_cell_angle_beta 60.00
_cell_angle_gamma 60.00
loop_
_space_group_symop_operation_xyz
'x,y,z'
loop_
_atom_site_label
_atom_site_type_symbol
_atom_site_fract_x
_atom_site_fract_y
_atom_site_fract_z
Zn1 Zn 0.626 0.626 0.122
Zn2 Zn 0.626 0.122 0.626
Zn3 Zn 0.626 0.626 0.626
Zn4 Zn 0.122 0.626 0.626
Th1 Th 0.250 0.250 0.250
Er1 Er 0.000 0.000 0.000


Most stable: 2. Least stable: 1.


1.
# PBE ErTh2Zr, optimized geometry
# - Space group: P4/mmm (123)
data_ErTh2Zr
_space_group_name_H-M_alt 'P 1'
_space_group_IT_number 1
_cell_length_a 3.477
_cell_length_b 3.477
_cell_length_c 9.780
_cell_angle_alpha 90.00
_cell_angle_beta 90.00
_cell_angle_gamma 90.00
loop_
_space_group_symop_operation_xyz
'x,y,z'
loop_
_atom_site_label
_atom_site_type_symbol
_atom_site_fract_x
_atom_site_fract_y
_atom_site_fract_z
Zr1 Zr 0.500 0.500 0.000
Th1 Th 0.000 0.000 0.762
Th2 Th 0.000 0.000 0.238
Er1 Er 0.500 0.500 0.500


2.
# PBE ErTh2Zr, optimized geometry
# - Space group: P4/mmm (123)
data_ErTh2Zr
_space_group_name_H-M_alt 'P 1'
_space_group_IT_number 1
_cell_length_a 4.856
_cell_length_b 4.926
_cell_length_c 4.926
_cell_angle_alpha 90.00
_cell_angle_beta 90.00
_cell_angle_gamma 90.00
loop_
_space_group_symop_operation_xyz
'x,y,z'
loop_
_atom_site_label
_atom_site_type_symbol
_atom_site_fract_x
_atom_site_fract_y
_atom_site_fract_z
Zr1 Zr 0.500 0.500 0.500
Th1 Th 0.000 0.000 0.500
Th2 Th 0.000 0.500 0.000
Er1 Er 0.500 0.000 0.000


Most stable: 1. Least stable: 2.


1.
# PBE Er3Ti, optimized geometry
# - Space group: Pm-3m (221)
data_Er3Ti
_space_group_name_H-M_alt 'P 1'
_space_group_IT_number 1
_cell_length_a 4.752
_cell_length_b 4.752
_cell_length_c 4.752
_cell_angle_alpha 90.00
_cell_angle_beta 90.00
_cell_angle_gamma 90.00
loop_
_space_group_symop_operation_xyz
'x,y,z'
loop_
_atom_site_label
_atom_site_type_symbol
_atom_site_fract_x
_atom_site_fract_y
_atom_site_fract_z
Ti1 Ti 0.000 0.000 0.000
Er1 Er 0.000 0.500 0.500
Er2 Er 0.500 0.000 0.500
Er3 Er 0.500 0.500 0.000


2.
# PBE Er3Ti, optimized geometry
# - Space group: Pmm2 (25)
data_Er3Ti
_space_group_name_H-M_alt 'P 1'
_space_group_IT_number 1
_cell_length_a 3.281
_cell_length_b 3.254
_cell_length_c 10.434
_cell_angle_alpha 90.00
_cell_angle_beta 90.00
_cell_angle_gamma 90.00
loop_
_space_group_symop_operation_xyz
'x,y,z'
loop_
_atom_site_label
_atom_site_type_symbol
_atom_site_fract_x
_atom_site_fract_y
_atom_site_fract_z
Ti1 Ti 0.000 0.000 0.973
Er1 Er 0.000 0.500 0.470
Er2 Er 0.500 0.500 0.171
Er3 Er 0.500 0.000 0.720


Most stable: 1. Least stable: 2.